# 1
VASP calculation (PBE) on an optimized crystal structure of MnAsOs.

a b c (Å): 2.8254 2.8254 10.2767
angles (deg): 90.00 90.00 90.00
Space group I4mm (No. 107)
One atom of each set of equivalent atoms:
1 Mn 0.0000 0.0000 0.0000 x2
2 As 0.0000 0.0000 0.6639 x2
3 Os 0.0000 0.0000 0.3498 x2

Energy above the most stable polymorph in this dataset ... 139 meV per atom
Final energy ... -48.564 eV for the cell shown
Formation energy from the elements ... 0.256 eV/atom

=====

# 2
VASP calculation (PBE) on an optimized crystal structure of MnAs2Os.

a b c (Å): 2.9253 2.9253 29.7615
angles (deg): 90.00 90.00 120.00
Space group R3m (No. 160, hexagonal axes)
One atom of each set of equivalent atoms:
1 Mn 0.0000 0.0000 0.0000 x3
2 As 0.0000 0.0000 0.5335 x3
3 As 0.0000 0.0000 0.7311 x3
4 Os 0.0000 0.0000 0.2637 x3

Energy above the most stable polymorph in this dataset ... 71 meV per atom
Final energy ... -87.128 eV for the cell shown
Formation energy from the elements ... 0.164 eV/atom

=====

# 3
VASP calculation (PBE) on an optimized crystal structure of MnAsOs.

a b c (Å): 5.8015 5.8015 5.8015
angles (deg): 90.00 90.00 90.00
Space group F-43m (No. 216)
One atom of each set of equivalent atoms:
1 Mn 0.0000 0.0000 0.0000 x4
2 As 0.0000 0.0000 0.5000 x4
3 Os 0.2500 0.2500 0.2500 x4

Energy above the most stable polymorph in this dataset ... 0 meV per atom
Final energy ... -98.796 eV for the cell shown
Formation energy from the elements ... 0.117 eV/atom